No. 1
The following is a GGA-PBE calculation of InReTe2 after structural relaxation, from the Alexandria database.

Cell: 5.341 5.341 5.341 Å, 129.40 129.40 74.37°
Element x y z (fractional)
In 0.500 0.500 0.000
Re 0.750 0.250 0.500
Te 0.000 0.000 0.000
Te 0.250 0.750 0.500

Properties
Its uncorrected formation energy is 0.940 eV per atom. The crystal system is tetragonal. For the density of states at the Fermi level, the calculation gives 4.41 states/eV per cell. The calculation puts the uncorrected energy at -4.427 eV/atom.

No. 2
The following is a GGA-PBE calculation of LaYCdNi after structural relaxation, from the Alexandria database.

Cell: 5.205 5.205 5.205 Å, 60.00 60.00 60.00°
Element x y z (fractional)
Cd 0.000 0.000 0.000
La 0.250 0.250 0.250
Y 0.750 0.750 0.750
Ni 0.500 0.500 0.500

Properties
Its formation enthalpy at 0 K is -207 meV/atom. The crystal system is cubic. For the density of states at the Fermi level, the calculation gives 3.81 states/eV per cell. The calculation puts the uncorrected energy at -4.729 eV/atom.